Entry 1:
VASP calculation (PBE-GGA) on crystalline K2ZrZn at its relaxed geometry.

## Properties
* energy of formation: 0.91 eV per atom
* space group: I-42d (122)
* N(E_F): 1.468 states/eV/atom
* size of the total moment: 4.455 μB per cell

Cell and atoms, written as POSCAR:
```
K2ZrZn
1.0
11.442 0.000 0.000
0.000 11.442 0.000
5.721 5.721 2.728
Zn K Zr
2 4 2
Cartesian
5.721 5.721 0.000 Zn
5.721 11.442 1.364 Zn
7.260 2.860 0.682 K
4.181 8.581 0.682 K
8.581 9.902 2.046 K
14.302 12.981 2.046 K
0.000 0.000 0.000 Zr
11.442 5.721 1.364 Zr
```

Entry 2:
VASP calculation (PBE-GGA) on crystalline K2ZrZn at its relaxed geometry.

## Properties
* energy of formation: 0.91 eV per atom
* space group: P4/mmm (123)
* N(E_F): 1.071 states/eV/atom
* size of the total moment: 0.000 μB per cell

Cell and atoms, written as POSCAR:
```
K2ZrZn
1.0
6.893 0.000 0.000
0.000 6.893 0.000
0.000 0.000 3.016
K Zn Zr
2 1 1
Cartesian
0.000 0.000 0.000 K
3.447 3.447 0.000 K
3.447 0.000 1.508 Zn
0.000 3.447 1.508 Zr
```

Entry 3:
VASP calculation (PBE-GGA) on crystalline K4ZrZn at its relaxed geometry.

## Properties
* energy of formation: 0.92 eV per atom
* space group: F-43m (216)
* N(E_F): 1.670 states/eV/atom
* size of the total moment: 3.515 μB per cell

Cell and atoms, written as POSCAR:
```
K4ZrZn
1.0
0.000 5.217 5.217
5.217 0.000 5.217
5.217 5.217 0.000
K Zr Zn
4 1 1
Cartesian
3.910 6.523 6.523 K
6.523 6.523 3.910 K
6.523 3.910 6.523 K
3.910 3.910 3.910 K
0.000 0.000 0.000 Zr
7.825 7.825 7.825 Zn
```

Entry 4:
VASP calculation (PBE-GGA) on crystalline KZr2Zn at its relaxed geometry.

## Properties
* energy of formation: 0.42 eV per atom
* space group: R-3m (166)
* N(E_F): 1.337 states/eV/atom
* size of the total moment: 0.564 μB per cell

Cell and atoms, written as POSCAR:
```
KZr2Zn
1.0
-1.067 6.260 -9.642
-0.341 3.424 -11.021
-3.406 4.105 -10.239
K Zn Zr
1 1 2
Cartesian
-1.204 3.447 -7.725 K
-3.611 10.342 -23.176 Zn
-0.093 0.267 -0.599 Zr
-2.314 6.627 -14.852 Zr
```

Entry 5:
VASP calculation (PBE-GGA) on crystalline KZr2Zn at its relaxed geometry.

## Properties
* energy of formation: 0.80 eV per atom
* space group: I-4m2 (119)
* N(E_F): 1.215 states/eV/atom
* size of the total moment: 0.490 μB per cell

Cell and atoms, written as POSCAR:
```
KZr2Zn
1.0
5.672 -0.003 0.000
2.108 5.265 0.000
-3.890 -2.631 3.180
K Zn Zr
1 1 2
Cartesian
3.890 2.631 0.000 K
1.054 2.633 1.590 Zn
0.000 0.000 0.000 Zr
2.836 -0.001 1.590 Zr
```

Entry 6:
VASP calculation (PBE-GGA) on crystalline KZrZn at its relaxed geometry.

## Properties
* energy of formation: 0.48 eV per atom
* energy relative to the lowest polymorph listed for this composition: 153 meV per atom
* space group: P3m1 (156)
* N(E_F): 0.763 states/eV/atom
* size of the total moment: 0.836 μB per cell

Cell and atoms, written as POSCAR:
```
KZrZn
1.0
3.355 0.000 0.000
-1.678 2.906 0.000
0.000 0.000 8.367
K Zn Zr
1 1 1
Cartesian
0.000 0.000 0.191 K
0.000 1.937 3.043 Zn
1.678 0.969 5.133 Zr
```

Question: The highest energy of formation belongs to which entry?
Answer: K4ZrZn

Question: Among the records above, which one has the highest energy of formation?
Answer: K4ZrZn

Question: The highest energy of formation belongs to which entry?
Answer: K4ZrZn

Question: Among the records above, which one has the lowest energy of formation?
Answer: number 4